Record 1
Here is a relaxed K2MnCd crystal from the Alexandria database. Energies are from PBE-GGA.

abc: 7.417 10.364 3.776
angles: 90.00 90.13 90.00
Space group C2/m (No. 12)
Inequivalent atoms, fractional coordinates:
K1 0.250 0.250 0.000 [4 per cell]
Mn1 0.000 0.000 0.500 [2 per cell]
Cd1 0.000 0.500 0.500 [2 per cell]

Properties
- VASP energy (eV per atom) = -2.481

Record 2
Here is a relaxed KMn2Cd crystal from the Alexandria database. Energies are from PBE-GGA.

abc: 3.568 3.568 8.179
angles: 90.00 90.00 90.00
Space group P4/mmm (No. 123)
Inequivalent atoms, fractional coordinates:
K1 0.000 0.000 0.000 [1 per cell]
Mn1 0.500 0.500 0.336 [2 per cell]
Cd1 0.000 0.000 0.500 [1 per cell]

Properties
- VASP energy (eV per atom) = -4.364